[1]
# Ta2TcAu

A relaxed structure of Ta2TcAu (GGA-PBE, Alexandria via LeMat-Bulk).

Output
Distance to the lowest polymorph of the same formula in eV per atom: 0.167
Formation energy in eV/atom: 0.03
Size of the total moment in μB/atom: 0.0000

Cell lengths 6.505, 6.505, 6.505 Å; angles 90.00, 90.00, 90.00 degrees
Space group Fm-3m (No. 225)
Asymmetric unit:
Ta  0.250  0.250  0.250 (multiplicity 8)
Tc  0.000  0.000  0.000 (multiplicity 4)
Au  0.000  0.000  0.500 (multiplicity 4)


[2]
# CuTe2Pb

A relaxed structure of CuTe2Pb (GGA-PBE, Alexandria via LeMat-Bulk).

Output
Final energy in eV per atom: -3.533
Size of the total moment in μB/atom: 0.0000

Cell lengths 3.916, 3.916, 7.893 Å; angles 90.00, 90.00, 90.00 degrees
Space group P4mm (No. 99)
Asymmetric unit:
Cu  0.000  0.000  0.000 (multiplicity 1)
Te  0.000  0.000  0.665 (multiplicity 1)
Te  0.500  0.500  0.063 (multiplicity 1)
Pb  0.500  0.500  0.478 (multiplicity 1)


[3]
# Ni8MoPt2

A relaxed structure of Ni8MoPt2 (GGA-PBE, Alexandria via LeMat-Bulk).

Output
Formation energy in eV/atom: 0.07
Size of the total moment in μB/atom: 0.0861

Cell lengths 12.174, 4.692, 4.877 Å; angles 90.00, 98.76, 90.00 degrees
Space group C2/m (No. 12)
Asymmetric unit:
Ni  0.083  0.245  0.410 (multiplicity 8)
Ni  0.088  0.000  0.906 (multiplicity 4)
Ni  0.249  0.000  0.640 (multiplicity 4)
Mo  0.000  0.500  0.000 (multiplicity 2)
Pt  0.199  0.500  0.843 (multiplicity 4)